# 1
The following is a DFT calculation (PBE-GGA) of an optimized crystal structure of CsPbS2Cl.

Calculated values
symmetry: No. 123
formation energy without anion corrections: -0.61 eV/atom

extended XYZ file:
```
5
Lattice="5.2754 0.0000 0.0000 0.0000 5.2754 0.0000 0.0000 0.0000 5.8154" Properties=species:S:1:pos:R:3 pbc="T T T"
Cs 0.0000 0.0000 0.0000
Pb 2.6377 2.6377 2.9077
S 0.0000 2.6377 2.9077
S 2.6377 0.0000 2.9077
Cl 2.6377 2.6377 0.0000
```

# 2
The following is a DFT calculation (PBE-GGA) of an optimized crystal structure of YCNO2.

Calculated values
symmetry: No. 123
formation energy without anion corrections: 1.10 eV/atom

extended XYZ file:
```
5
Lattice="4.4067 0.0000 0.0000 0.0000 4.4067 0.0000 0.0000 0.0000 4.7039" Properties=species:S:1:pos:R:3 pbc="T T T"
Y 0.0000 0.0000 0.0000
C 2.2034 2.2034 2.3520
N 0.0000 0.0000 2.3520
O 0.0000 2.2034 0.0000
O 2.2034 0.0000 0.0000
```

# 3
The following is a DFT calculation (PBE-GGA) of an optimized crystal structure of SmMgOs4.

Calculated values
DFT formation energy: 0.035 eV/atom
symmetry: No. 216

extended XYZ file:
```
6
Lattice="0.0000 3.7577 3.7577 3.7577 0.0000 3.7577 3.7577 3.7577 0.0000" Properties=species:S:1:pos:R:3 pbc="T T T"
Sm 0.0000 0.0000 0.0000
Mg 1.8788 1.8788 1.8788
Os 4.6933 2.8221 2.8221
Os 2.8221 4.6933 2.8221
Os 2.8221 2.8221 4.6933
Os 4.6933 4.6933 4.6933
```

# 4
The following is a DFT calculation (PBE-GGA) of an optimized crystal structure of KMnAg.

Calculated values
DFT formation energy: 0.509 eV/atom
symmetry: No. 44

extended XYZ file:
```
6
Lattice="3.1240 0.0000 0.0000 0.0000 4.2583 0.0000 0.0000 0.0000 12.3125" Properties=species:S:1:pos:R:3 pbc="T T T"
K 0.0000 0.0000 0.0000
K 1.5620 2.1291 6.1562
Mn 0.0000 0.0000 3.3605
Mn 1.5620 2.1291 9.5168
Ag 0.0000 0.0000 8.8276
Ag 1.5620 2.1291 2.6714
```

# 5
The following is a DFT calculation (PBE-GGA) of an optimized crystal structure of ReOs.

Calculated values
DFT formation energy: 1.344 eV/atom
symmetry: No. 186

extended XYZ file:
```
4
Lattice="4.1349 0.0000 0.0000 -2.0674 3.5809 0.0000 0.0000 0.0000 5.8175" Properties=species:S:1:pos:R:3 pbc="T T T"
Re 0.0000 2.3873 0.0000
Re 2.0675 1.1936 2.9088
Os 0.0000 2.3873 2.3988
Os 2.0675 1.1936 5.3076
```

# 6
The following is a DFT calculation (PBE-GGA) of an optimized crystal structure of Tb3SnGe3.

Calculated values
DFT formation energy: -0.578 eV/atom
symmetry: No. 176

extended XYZ file:
```
14
Lattice="8.6621 0.0000 0.0000 -4.3311 7.5016 0.0000 0.0000 0.0000 5.7334" Properties=species:S:1:pos:R:3 pbc="T T T"
Tb -2.2897 5.1256 1.4333
Tb 1.0370 2.9559 1.4333
Tb 3.0784 0.5799 4.3000
Tb 1.2527 6.9217 1.4333
Tb 3.2941 4.5457 4.3000
Tb 6.6207 2.3760 4.3000
Sn 0.0000 5.0011 4.3000
Sn 4.3311 2.5005 1.4333
Ge -2.6351 5.4628 4.3000
Ge 0.9177 2.4882 4.3000
Ge 2.6137 0.4493 1.4333
Ge 1.7174 7.0523 4.3000
Ge 3.4134 5.0134 1.4333
Ge 6.9661 2.0388 1.4333
```

# 7
The following is a DFT calculation (PBE-GGA) of an optimized crystal structure of HfZnCdAg.

Calculated values
DFT formation energy: -0.077 eV/atom
symmetry: No. 99

extended XYZ file:
```
4
Lattice="3.0829 0.0000 0.0000 0.0000 3.0829 0.0000 0.0000 0.0000 7.8755" Properties=species:S:1:pos:R:3 pbc="T T T"
Hf 0.0000 0.0000 0.0000
Zn 1.5415 1.5415 1.8601
Cd 1.5415 1.5415 5.6168
Ag 0.0000 0.0000 3.5506
```

# 8
The following is a DFT calculation (PBE-GGA) of an optimized crystal structure of BaAsPtBr2.

Calculated values
symmetry: No. 123
formation energy without anion corrections: 0.46 eV/atom

extended XYZ file:
```
5
Lattice="6.1491 0.0000 0.0000 0.0000 6.1491 0.0000 0.0000 0.0000 6.7662" Properties=species:S:1:pos:R:3 pbc="T T T"
Ba 0.0000 0.0000 0.0000
As 0.0000 0.0000 3.3831
Pt 3.0745 3.0745 3.3831
Br 0.0000 3.0745 0.0000
Br 3.0745 0.0000 0.0000
```

# 9
The following is a DFT calculation (PBE-GGA) of an optimized crystal structure of CdAsS2.

Calculated values
symmetry: No. 166
formation energy without anion corrections: 0.09 eV/atom

extended XYZ file:
```
12
Lattice="3.8372 0.0000 0.0000 -1.9186 3.3231 0.0000 0.0000 0.0000 22.9445" Properties=species:S:1:pos:R:3 pbc="T T T"
Cd 0.0000 0.0000 0.0000
Cd 0.0000 2.2154 15.2964
Cd 1.9186 1.1077 7.6482
As 0.0000 0.0000 11.4723
As 0.0000 2.2154 3.8241
As 1.9186 1.1077 19.1204
S 0.0000 0.0000 9.1381
S 0.0000 0.0000 13.8064
S 0.0000 2.2154 1.4899
S 0.0000 2.2154 6.1583
S 1.9186 1.1077 16.7862
S 1.9186 1.1077 21.4546
```

# 10
The following is a DFT calculation (PBE-GGA) of an optimized crystal structure of CrSb2SeI.

Calculated values
symmetry: No. 123
formation energy without anion corrections: 0.92 eV/atom

extended XYZ file:
```
5
Lattice="5.4256 0.0000 0.0000 0.0000 5.4256 0.0000 0.0000 0.0000 5.7943" Properties=species:S:1:pos:R:3 pbc="T T T"
Cr 0.0000 0.0000 0.0000
Sb 0.0000 2.7128 2.8971
Sb 2.7128 0.0000 2.8971
Se 2.7128 2.7128 2.8971
I 2.7128 2.7128 0.0000
```

# 11
The following is a DFT calculation (PBE-GGA) of an optimized crystal structure of LuAl2Co.

Calculated values
DFT formation energy: -0.025 eV/atom
symmetry: No. 166

extended XYZ file:
```
12
Lattice="3.1425 0.0000 0.0000 -1.5713 2.7215 0.0000 0.0000 0.0000 25.1993" Properties=species:S:1:pos:R:3 pbc="T T T"
Lu 0.0000 0.0000 0.0000
Lu 0.0000 1.8143 16.7995
Lu 1.5713 0.9072 8.3997
Al 0.0000 0.0000 5.8454
Al 0.0000 0.0000 19.3539
Al 0.0000 1.8143 10.9541
Al 0.0000 1.8143 22.6449
Al 1.5713 0.9072 2.5544
Al 1.5713 0.9072 14.2451
Co 0.0000 0.0000 12.5996
Co 0.0000 1.8143 4.1999
Co 1.5713 0.9072 20.9994
```

# 12
The following is a DFT calculation (PBE-GGA) of an optimized crystal structure of InPbN2.

Calculated values
symmetry: No. 166
formation energy without anion corrections: 0.83 eV/atom

extended XYZ file:
```
12
Lattice="3.5252 0.0000 0.0000 -1.7626 3.0529 0.0000 0.0000 0.0000 19.1825" Properties=species:S:1:pos:R:3 pbc="T T T"
In 0.0000 0.0000 0.0000
In 0.0000 2.0353 12.7883
In 1.7626 1.0176 6.3942
Pb 0.0000 0.0000 9.5912
Pb 0.0000 2.0353 3.1971
Pb 1.7626 1.0176 15.9854
N 0.0000 0.0000 7.4676
N 0.0000 0.0000 11.7149
N 0.0000 2.0353 1.0735
N 0.0000 2.0353 5.3207
N 1.7626 1.0176 13.8618
N 1.7626 1.0176 18.1090
```

# 13
The following is a DFT calculation (PBE-GGA) of an optimized crystal structure of CaPd9Pb2.

Calculated values
DFT formation energy: -0.359 eV/atom
symmetry: No. 123

extended XYZ file:
```
12
Lattice="4.1181 0.0000 0.0000 0.0000 4.1181 0.0000 0.0000 0.0000 12.3224" Properties=species:S:1:pos:R:3 pbc="T T T"
Ca 0.0000 0.0000 0.0000
Pd 0.0000 2.0590 2.0986
Pd 0.0000 2.0590 6.1612
Pd 0.0000 2.0590 10.2239
Pd 2.0590 0.0000 2.0986
Pd 2.0590 0.0000 6.1612
Pd 2.0590 0.0000 10.2239
Pd 2.0590 2.0590 0.0000
Pd 2.0590 2.0590 4.1319
Pd 2.0590 2.0590 8.1905
Pb 0.0000 0.0000 4.1105
Pb 0.0000 0.0000 8.2119
```

# 14
The following is a DFT calculation (PBE-GGA) of an optimized crystal structure of Ac2TiAlPt6.

Calculated values
DFT formation energy: -0.880 eV/atom
symmetry: No. 2

extended XYZ file:
```
10
Lattice="6.4461 0.0000 0.0000 -3.0194 5.6976 0.0000 -2.5780 -2.3269 6.0109" Properties=species:S:1:pos:R:3 pbc="T T T"
Ac -0.9505 0.5722 1.7969
Ac 1.7993 2.7985 4.2140
Ti 1.7134 2.8488 0.0000
Al 1.9341 -1.1635 3.0055
Pt -2.8316 0.0943 4.3946
Pt -0.3687 4.1085 0.6486
Pt -1.4072 2.4558 4.3886
Pt 2.2560 0.9148 1.6223
Pt 1.2174 -0.7378 5.3623
Pt 3.6803 3.2764 1.6163
```

# 15
The following is a DFT calculation (PBE-GGA) of an optimized crystal structure of PaBeNi2.

Calculated values
DFT formation energy: -0.050 eV/atom
symmetry: No. 65

extended XYZ file:
```
8
Lattice="5.2711 0.0000 0.0000 0.0000 6.3027 0.0000 0.0000 0.0000 3.5698" Properties=species:S:1:pos:R:3 pbc="T T T"
Pa 0.0000 0.0000 0.0000
Pa 2.6356 3.1514 0.0000
Be 0.0000 3.1514 0.0000
Be 2.6356 0.0000 0.0000
Ni 0.0000 1.9158 1.7849
Ni 0.0000 4.3869 1.7849
Ni 2.6356 1.2356 1.7849
Ni 2.6356 5.0671 1.7849
```

# 16
The following is a DFT calculation (PBE-GGA) of an optimized crystal structure of TlRuPt2Br.

Calculated values
symmetry: No. 123
formation energy without anion corrections: 1.53 eV/atom

extended XYZ file:
```
5
Lattice="4.6950 0.0000 0.0000 0.0000 4.6950 0.0000 0.0000 0.0000 5.7160" Properties=species:S:1:pos:R:3 pbc="T T T"
Tl 0.0000 0.0000 0.0000
Ru 2.3475 2.3475 0.0000
Pt 0.0000 2.3475 2.8580
Pt 2.3475 0.0000 2.8580
Br 0.0000 0.0000 2.8580
```

# 17
The following is a DFT calculation (PBE-GGA) of an optimized crystal structure of CaPrCd2.

Calculated values
DFT formation energy: -0.370 eV/atom
symmetry: No. 225

extended XYZ file:
```
16
Lattice="7.7109 0.0000 0.0000 0.0000 7.7109 0.0000 0.0000 0.0000 7.7109" Properties=species:S:1:pos:R:3 pbc="T T T"
Ca 0.0000 0.0000 0.0000
Ca 0.0000 3.8554 3.8554
Ca 3.8554 0.0000 3.8554
Ca 3.8554 3.8554 0.0000
Pr 0.0000 0.0000 3.8554
Pr 0.0000 3.8554 0.0000
Pr 3.8554 0.0000 0.0000
Pr 3.8554 3.8554 3.8554
Cd 1.9277 1.9277 1.9277
Cd 1.9277 1.9277 5.7831
Cd 1.9277 5.7831 1.9277
Cd 1.9277 5.7831 5.7831
Cd 5.7831 1.9277 1.9277
Cd 5.7831 1.9277 5.7831
Cd 5.7831 5.7831 1.9277
Cd 5.7831 5.7831 5.7831
```

# 18
The following is a DFT calculation (PBE-GGA) of an optimized crystal structure of Tl2ZnGeF6.

Calculated values
symmetry: No. 148
formation energy without anion corrections: -2.02 eV/atom

extended XYZ file:
```
10
Lattice="3.0685 1.7716 5.0115 -3.0685 1.7716 5.0115 0.0000 -3.5432 5.0115" Properties=species:S:1:pos:R:3 pbc="T T T"
Tl 0.0000 0.0000 3.7607
Tl 0.0000 0.0000 11.2737
Zn 0.0000 0.0000 0.0000
Ge 0.0000 0.0000 7.5172
F -1.6086 0.8993 6.2147
F -1.5831 -0.9435 8.8197
F 0.0255 -1.8428 6.2147
F -0.0255 1.8427 8.8197
F 1.5831 0.9434 6.2147
F 1.6086 -0.8993 8.8197
```

# 19
The following is a DFT calculation (PBE-GGA) of an optimized crystal structure of MgReNi.

Calculated values
DFT formation energy: 0.183 eV/atom
symmetry: No. 156

extended XYZ file:
```
3
Lattice="2.7557 0.0000 0.0000 -1.3778 2.3865 0.0000 0.0000 0.0000 6.6420" Properties=species:S:1:pos:R:3 pbc="T T T"
Mg 0.0000 0.0000 0.0000
Re 0.0000 1.5910 4.1938
Ni 1.3778 0.7955 2.1874
```

# 20
The following is a DFT calculation (PBE-GGA) of an optimized crystal structure of EuHoThSc.

Calculated values
DFT formation energy: 0.192 eV/atom
symmetry: No. 216

extended XYZ file:
```
16
Lattice="7.9435 0.0000 0.0000 0.0000 7.9435 0.0000 0.0000 0.0000 7.9435" Properties=species:S:1:pos:R:3 pbc="T T T"
Eu 0.0000 0.0000 0.0000
Eu 0.0000 3.9718 3.9718
Eu 3.9718 0.0000 3.9718
Eu 3.9718 3.9718 0.0000
Ho 1.9859 1.9859 5.9577
Ho 1.9859 5.9577 1.9859
Ho 5.9577 1.9859 1.9859
Ho 5.9577 5.9577 5.9577
Th 0.0000 0.0000 3.9718
Th 0.0000 3.9718 0.0000
Th 3.9718 0.0000 0.0000
Th 3.9718 3.9718 3.9718
Sc 1.9859 1.9859 1.9859
Sc 1.9859 5.9577 5.9577
Sc 5.9577 1.9859 5.9577
Sc 5.9577 5.9577 1.9859
```

# 21
The following is a DFT calculation (PBE-GGA) of an optimized crystal structure of HgTe2Pb.

Calculated values
symmetry: No. 119
formation energy without anion corrections: 0.01 eV/atom

extended XYZ file:
```
8
Lattice="4.4823 0.0000 0.0000 0.0000 4.4823 0.0000 0.0000 0.0000 12.2988" Properties=species:S:1:pos:R:3 pbc="T T T"
Hg 0.0000 0.0000 0.0000
Hg 2.2411 2.2411 6.1494
Te 0.0000 0.0000 6.1494
Te 0.0000 2.2411 3.0747
Te 2.2411 0.0000 9.2241
Te 2.2411 2.2411 0.0000
Pb 0.0000 2.2411 9.2241
Pb 2.2411 0.0000 3.0747
```

# 22
The following is a DFT calculation (PBE-GGA) of an optimized crystal structure of In2Ag2Cl.

Calculated values
symmetry: No. 127
formation energy without anion corrections: -0.14 eV/atom

extended XYZ file:
```
10
Lattice="8.4374 0.0000 0.0000 0.0000 8.4374 0.0000 0.0000 0.0000 3.2339" Properties=species:S:1:pos:R:3 pbc="T T T"
In 1.5873 2.6313 0.0000
In 2.6313 6.8500 0.0000
In 5.8060 1.5873 0.0000
In 6.8500 5.8060 0.0000
Ag 0.9659 5.1846 1.6170
Ag 3.2528 0.9659 1.6170
Ag 5.1846 7.4715 1.6170
Ag 7.4715 3.2528 1.6170
Cl 0.0000 0.0000 0.0000
Cl 4.2187 4.2187 0.0000
```

# 23
The following is a DFT calculation (PBE-GGA) of an optimized crystal structure of Sm4Al3Ga.

Calculated values
DFT formation energy: -0.422 eV/atom
symmetry: No. 25

extended XYZ file:
```
8
Lattice="4.1950 0.0000 0.0000 0.0000 4.4783 0.0000 0.0000 0.0000 11.3512" Properties=species:S:1:pos:R:3 pbc="T T T"
Sm 0.0000 0.0000 0.0000
Sm 0.0000 2.2391 5.6245
Sm 2.0975 0.0000 8.0994
Sm 2.0975 2.2391 2.4544
Al 0.0000 2.2391 8.9172
Al 2.0975 0.0000 4.8005
Al 2.0975 2.2391 10.5295
Ga 0.0000 0.0000 3.2063
```

# 24
The following is a DFT calculation (PBE-GGA) of an optimized crystal structure of PmPaCo2.

Calculated values
DFT formation energy: -0.314 eV/atom
symmetry: No. 166

extended XYZ file:
```
12
Lattice="4.2245 0.0000 0.0000 -2.1123 3.6585 0.0000 0.0000 0.0000 15.7445" Properties=species:S:1:pos:R:3 pbc="T T T"
Pm 0.0000 0.0000 0.0000
Pm 0.0000 2.4390 10.4963
Pm 2.1123 1.2195 5.2482
Pa 0.0000 0.0000 7.8723
Pa 0.0000 2.4390 2.6241
Pa 2.1123 1.2195 13.1204
Co 0.0000 0.0000 3.2597
Co 0.0000 0.0000 12.4848
Co 0.0000 2.4390 7.2367
Co 0.0000 2.4390 13.7560
Co 2.1123 1.2195 1.9885
Co 2.1123 1.2195 8.5078
```

# 25
The following is a DFT calculation (PBE-GGA) of an optimized crystal structure of CrCoRe2.

Calculated values
DFT formation energy: 0.047 eV/atom
symmetry: No. 123

extended XYZ file:
```
4
Lattice="3.7800 0.0000 0.0000 0.0000 3.7800 0.0000 0.0000 0.0000 3.6505" Properties=species:S:1:pos:R:3 pbc="T T T"
Cr 0.0000 0.0000 0.0000
Co 1.8900 1.8900 0.0000
Re 0.0000 1.8900 1.8253
Re 1.8900 0.0000 1.8253
```

# 26
The following is a DFT calculation (PBE-GGA) of an optimized crystal structure of Rb5Bi2O6.

Calculated values
symmetry: No. 55
formation energy without anion corrections: -1.25 eV/atom

extended XYZ file:
```
26
Lattice="12.4211 0.0000 0.0000 0.0000 13.2363 0.0000 0.0000 0.0000 4.2388" Properties=species:S:1:pos:R:3 pbc="T T T"
Rb 0.0000 0.0000 0.0000
Rb 0.2349 3.5580 0.0000
Rb 2.6007 6.5109 0.0000
Rb 3.6098 13.1290 0.0000
Rb 5.9757 10.1761 0.0000
Rb 6.2105 6.6181 0.0000
Rb 6.4454 3.0602 0.0000
Rb 8.8112 0.1073 0.0000
Rb 9.8204 6.7254 0.0000
Rb 12.1862 9.6783 0.0000
Bi 2.8163 10.2229 2.1194
Bi 3.3942 3.6047 2.1194
Bi 9.0269 9.6315 2.1194
Bi 9.6047 3.0134 2.1194
O 1.3314 11.7097 2.1194
O 1.6923 4.8203 2.1194
O 2.8480 9.4117 0.0000
O 3.3625 2.7936 0.0000
O 4.5183 11.4384 2.1194
O 4.8791 5.0916 2.1194
O 7.5419 8.1447 2.1194
O 7.9028 1.7979 2.1194
O 9.0585 10.4427 0.0000
O 9.5731 3.8246 0.0000
O 10.7288 8.4160 2.1194
O 11.0897 1.5266 2.1194
```